No. 1
Here is ScCr2Hg after structural relaxation from Alexandria via LeMat-Bulk. Energies are from PBE.

a b c (Å): 4.033 4.229 4.243
angles (deg): 90.00 90.00 90.00
Fractional coordinates of all 4 atoms:
Sc  0.000  0.000  0.000
Cr  0.500  0.000  0.500
Cr  0.500  0.500  0.000
Hg  0.000  0.500  0.500

Results
Energy relative to the elements (kJ/mol of atoms): 31.16
Size of the total moment (μB per cell): 6.9
Total DFT energy (no corrections) (eV per formula unit): -24.6
Space-group type: No. 47


No. 2
Here is RbCd2WCl after structural relaxation from Alexandria via LeMat-Bulk. Energies are from PBE.

a b c (Å): 5.460 5.460 7.533
angles (deg): 90.00 90.00 90.00
Fractional coordinates of all 5 atoms:
Rb  0.000  0.000  0.000
Cd  0.000  0.500  0.500
Cd  0.500  0.000  0.500
W  0.000  0.000  0.500
Cl  0.500  0.500  0.000

Results
Size of the total moment (μB per cell): 4.4
Total DFT energy (no corrections) (eV per formula unit): -14.0
Space-group type: No. 123
Raw formation energy (eV/atom): 0.712


No. 3
Here is Tl2NiW after structural relaxation from Alexandria via LeMat-Bulk. Energies are from PBE.

a b c (Å): 5.101 5.101 5.359
angles (deg): 108.08 108.08 34.55
Fractional coordinates of all 4 atoms:
Tl  0.231  0.231  0.238
Tl  0.769  0.769  0.762
Ni  0.500  0.500  0.000
W  0.000  0.000  0.500

Results
Energy relative to the elements (kJ/mol of atoms): 86.44
Size of the total moment (μB per cell): 0.0
Energy relative to the lowest polymorph listed for this composition (meV per atom): 373
Total DFT energy (no corrections) (eV per formula unit): -19.9
Space-group type: No. 12